Entry from the Alexandria database: a relaxed structure of Tl2CuBr5 (GGA-PBE).

## Properties
**ΔE to the lowest computed polymorph**: 0 meV/atom

Lattice parameters (Å, degrees): 6.6114 7.3036 14.3786 90.00 90.00 116.91
Positions (direct):
Tl1 0.8281 0.6561 0.4167
Tl2 0.8281 0.6561 0.0833
Tl3 0.1719 0.3439 0.5833
Tl4 0.1719 0.3439 0.9167
Cu1 0.8192 0.6384 0.7500
Cu2 0.1808 0.3616 0.2500
Br1 0.9506 0.9011 0.8674
Br2 0.9506 0.9011 0.6326
Br3 0.3067 0.6134 0.3730
Br4 0.3067 0.6134 0.1270
Br5 0.6965 0.3930 0.2500
Br6 0.3035 0.6070 0.7500
Br7 0.6933 0.3866 0.6270
Br8 0.6933 0.3866 0.8730
Br9 0.0494 0.0989 0.1326
Br10 0.0494 0.0989 0.3674

=====

Entry from the Alexandria database: a relaxed structure of Fe2CoI6 (GGA-PBE).

Lattice parameters (Å, degrees): 6.8121 10.0121 10.0121 81.47 78.68 78.68
Site moments in Bohr magnetons follow the coordinates.
Positions (direct):
Fe1 0.3484 0.4537 0.6506  3.12
Fe2 0.1516 0.3494 0.5463  3.12
Fe3 0.6516 0.5463 0.3494  3.12
Fe4 0.8484 0.6506 0.4537  3.12
Co1 0.2500 0.0733 0.9267  -0.23
Co2 0.7500 0.9267 0.0733  -0.23
I1 0.4239 0.7004 0.5386  0.13
I2 0.0761 0.4614 0.2996  0.13
I3 0.5761 0.2996 0.4614  0.13
I4 0.9239 0.5386 0.7004  0.13
I5 0.8515 0.8944 0.3261  0.08
I6 0.6485 0.6739 0.1056  0.08
I7 0.1485 0.1056 0.6739  0.08
I8 0.3515 0.3261 0.8944  0.08
I9 0.1205 0.8361 0.9665  0.02
I10 0.3795 0.0335 0.1639  0.02
I11 0.8795 0.1639 0.0335  0.02
I12 0.6205 0.9665 0.8361  0.02

=====

| no. | DOS at the Fermi energy (states/eV/f.u.) | E_form (uncorrected) (eV/f.u.) |
| --- | --- | --- |
| 1 | 0.9 | -3.9 |
| 2 | 4.6 | -0.3 |